*one*
A plane-wave DFT calculation with PBE was carried out for a relaxed structure of Pm2Nd8Tm.

The total moment comes out at 0.00 μB/f.u. As for the space group: No. 12.

Unit cell a=9.4259 b=10.2240 c=10.2240 alpha=42.99 beta=40.29 gamma=40.29
Sites, in units of the cell vectors:
Nd (0.2636, 0.6833, 0.6833)
Nd (0.8584, 0.6506, 0.2173)
Nd (0.3838, 0.3090, 0.3090)
Nd (0.1416, 0.3494, 0.7827)
Nd (0.7364, 0.3167, 0.3167)
Nd (0.8584, 0.2173, 0.6506)
Nd (0.6162, 0.6910, 0.6910)
Nd (0.1416, 0.7827, 0.3494)
Pm (0.3485, 0.1420, 0.1420)
Pm (0.6515, 0.8580, 0.8580)
Tm (0.0000, 0.0000, 0.0000)

=====

*two*
A plane-wave DFT calculation with PBE was carried out for a relaxed structure of Pm2Nd8Tm.

The total moment comes out at 0.00 μB/f.u. As for the space group: No. 12.

Unit cell a=6.2322 b=10.3572 c=10.3572 alpha=38.72 beta=67.68 gamma=67.68
Sites, in units of the cell vectors:
Nd (0.6686, 0.8920, 0.4183)
Nd (0.3314, 0.5817, 0.1080)
Nd (0.2098, 0.5356, 0.5356)
Nd (0.3314, 0.1080, 0.5817)
Nd (0.6686, 0.4183, 0.8920)
Nd (0.7902, 0.4644, 0.4644)
Nd (0.3138, 0.0955, 0.0955)
Nd (0.6862, 0.9045, 0.9045)
Pm (0.0903, 0.7258, 0.7258)
Pm (0.9097, 0.2742, 0.2742)
Tm (0.0000, 0.0000, 0.0000)

=====

Consider the structures shown above. The least stable of them is *two*.